Here is an optimized crystal structure of Rb2HgBi2Pb from OQMD. Energies are from GGA-PBE.

abc: 4.7983 4.7983 12.9375
angles: 90.00 90.00 120.00
Fractional positions:
Bi (0.3333, 0.6667, 0.2151)
Bi (0.6667, 0.3333, 0.6851)
Hg (0.0000, 0.0000, 0.2619)
Pb (0.0000, 0.0000, 0.7976)
Rb (0.6667, 0.3333, 0.0092)
Rb (0.3333, 0.6667, 0.5001)

Computed properties:
Total DFT energy (no corrections), eV per cell: -15.33
Crystal system: trigonal